(1)
A plane-wave DFT calculation with PBE was carried out for crystalline TlCuIN2 at its relaxed geometry.

Lattice parameters (Å, degrees): 4.3284 4.3284 5.9235 90.00 90.00 90.00
Each line ends with the local moment (μB).
Fractional positions:
I 0.0000 0.0000 0.5000  0.11
Tl 0.5000 0.5000 0.5000  0.03
Cu 0.0000 0.0000 0.0000  0.34
N 0.0000 0.5000 0.0000  1.26
N 0.5000 0.0000 0.0000  1.26

Summary:
- Formation energy without anion corrections: 1480 meV/atom
- Energy: -3.452 eV/atom
- V: 22.2 A^3/atom
- Total moment: 0.8517 μB/atom
- Distance to the lowest polymorph of the same formula: 0.000 eV/atom
- Symmetry: No. 123

***

(2)
A plane-wave DFT calculation with PBE was carried out for crystalline VCuIN2 at its relaxed geometry.

Lattice parameters (Å, degrees): 3.7614 3.7614 5.8520 90.00 90.00 90.00
Each line ends with the local moment (μB).
Fractional positions:
I 0.0000 0.0000 0.5000  0.02
N 0.0000 0.5000 0.0000  0.25
N 0.5000 0.0000 0.0000  0.25
Cu 0.5000 0.5000 0.5000  0.01
V 0.0000 0.0000 0.0000  -0.33

Summary:
- Formation energy without anion corrections: 496 meV/atom
- Energy: -5.787 eV/atom
- V: 16.6 A^3/atom
- Total moment: 0.0742 μB/atom
- Distance to the lowest polymorph of the same formula: 0.000 eV/atom
- Symmetry: No. 123

***

(3)
A plane-wave DFT calculation with PBE was carried out for crystalline VCuIN2 at its relaxed geometry.

Lattice parameters (Å, degrees): 3.8360 3.8360 5.3158 90.00 90.00 90.00
Each line ends with the local moment (μB).
Fractional positions:
I 0.0000 0.0000 0.5000  0.05
N 0.0000 0.5000 0.0000  0.40
N 0.5000 0.0000 0.0000  0.40
Cu 0.0000 0.0000 0.0000  0.10
V 0.5000 0.5000 0.5000  0.56

Summary:
- Formation energy without anion corrections: 1821 meV/atom
- Energy: -4.462 eV/atom
- V: 15.6 A^3/atom
- Total moment: 0.3695 μB/atom
- Distance to the lowest polymorph of the same formula: 1.325 eV/atom
- Symmetry: No. 123

***

(4)
A plane-wave DFT calculation with PBE was carried out for crystalline CuWIN2 at its relaxed geometry.

Lattice parameters (Å, degrees): 3.9009 3.9009 5.9391 90.00 90.00 90.00
Fractional positions:
I 0.0000 0.0000 0.5000
Cu 0.5000 0.5000 0.5000
W 0.0000 0.0000 0.0000
N 0.0000 0.5000 0.0000
N 0.5000 0.0000 0.0000

Summary:
- Formation energy without anion corrections: 576 meV/atom
- Energy: -6.474 eV/atom
- V: 18.1 A^3/atom
- Total moment: 0.0000 μB/atom
- Distance to the lowest polymorph of the same formula: 0.000 eV/atom
- Symmetry: No. 123

***

(5)
A plane-wave DFT calculation with PBE was carried out for crystalline CuWIN2 at its relaxed geometry.

Lattice parameters (Å, degrees): 3.8880 3.8880 5.0342 90.00 90.00 90.00
Each line ends with the local moment (μB).
Fractional positions:
I 0.0000 0.0000 0.5000  0.02
Cu 0.0000 0.0000 0.0000  0.03
W 0.5000 0.5000 0.5000  0.33
N 0.0000 0.5000 0.0000  0.19
N 0.5000 0.0000 0.0000  0.19

Summary:
- Formation energy without anion corrections: 2348 meV/atom
- Energy: -4.702 eV/atom
- V: 15.2 A^3/atom
- Total moment: 0.1928 μB/atom
- Distance to the lowest polymorph of the same formula: 1.772 eV/atom
- Symmetry: No. 123

***

(6)
A plane-wave DFT calculation with PBE was carried out for crystalline Y2CuIN at its relaxed geometry.

Lattice parameters (Å, degrees): 5.6667 4.1091 5.6667 90.00 90.00 90.00
Fractional positions:
I 0.0000 0.0000 0.0000
Y 0.0000 0.0000 0.5000
Y 0.5000 0.0000 0.0000
Cu 0.5000 0.5000 0.5000
N 0.0000 0.5000 0.0000

Summary:
- Formation energy without anion corrections: 879 meV/atom
- Energy: -4.501 eV/atom
- V: 26.4 A^3/atom
- Total moment: 0.0000 μB/atom
- Symmetry: No. 123

***

(7)
A plane-wave DFT calculation with PBE was carried out for crystalline YCuIN2 at its relaxed geometry.

Lattice parameters (Å, degrees): 4.2575 4.2575 6.6098 90.00 90.00 90.00
Fractional positions:
I 0.0000 0.0000 0.5000
Y 0.0000 0.0000 0.0000
Cu 0.5000 0.5000 0.5000
N 0.0000 0.5000 0.0000
N 0.5000 0.0000 0.0000

Summary:
- Formation energy without anion corrections: 908 meV/atom
- Energy: -4.844 eV/atom
- V: 24.0 A^3/atom
- Total moment: 0.0012 μB/atom
- Distance to the lowest polymorph of the same formula: 0.000 eV/atom
- Symmetry: No. 123

***

(8)
A plane-wave DFT calculation with PBE was carried out for crystalline YCuIN2 at its relaxed geometry.

Lattice parameters (Å, degrees): 4.1717 4.1717 4.9074 90.00 90.00 90.00
Each line ends with the local moment (μB).
Fractional positions:
I 0.0000 0.0000 0.5000  0.04
Y 0.5000 0.5000 0.5000  -0.04
Cu 0.0000 0.0000 0.0000  0.04
N 0.0000 0.5000 0.0000  0.40
N 0.5000 0.0000 0.0000  0.40

Summary:
- Formation energy without anion corrections: 939 meV/atom
- Energy: -4.813 eV/atom
- V: 17.1 A^3/atom
- Total moment: 0.2233 μB/atom
- Distance to the lowest polymorph of the same formula: 0.031 eV/atom
- Symmetry: No. 123

***

(9)
A plane-wave DFT calculation with PBE was carried out for crystalline ZrCuIN2 at its relaxed geometry.

Lattice parameters (Å, degrees): 4.0440 4.0440 4.8657 90.00 90.00 90.00
Fractional positions:
I 0.0000 0.0000 0.5000
Cu 0.0000 0.0000 0.0000
Zr 0.5000 0.5000 0.5000
N 0.0000 0.5000 0.0000
N 0.5000 0.0000 0.0000

Summary:
- Formation energy without anion corrections: 1340 meV/atom
- Energy: -4.829 eV/atom
- V: 15.9 A^3/atom
- Total moment: 0.0003 μB/atom
- Distance to the lowest polymorph of the same formula: 0.826 eV/atom
- Symmetry: No. 123

***

(10)
A plane-wave DFT calculation with PBE was carried out for crystalline ZrCuIN2 at its relaxed geometry.

Lattice parameters (Å, degrees): 4.1134 4.1134 6.3154 90.00 90.00 90.00
Fractional positions:
I 0.0000 0.0000 0.5000
Cu 0.5000 0.5000 0.5000
Zr 0.0000 0.0000 0.0000
N 0.0000 0.5000 0.0000
N 0.5000 0.0000 0.0000

Summary:
- Formation energy without anion corrections: 515 meV/atom
- Energy: -5.654 eV/atom
- V: 21.4 A^3/atom
- Total moment: 0.0002 μB/atom
- Distance to the lowest polymorph of the same formula: 0.000 eV/atom
- Symmetry: No. 123

***

(11)
A plane-wave DFT calculation with PBE was carried out for crystalline NaCu3I4 at its relaxed geometry.

Lattice parameters (Å, degrees): 6.1642 6.1642 6.1642 90.00 90.00 90.00
Fractional positions:
Na 0.0000 0.0000 0.0000
Cu 0.0000 0.5000 0.0000
Cu 0.0000 0.0000 0.5000
Cu 0.5000 0.0000 0.0000
I 0.2651 0.2651 0.2651
I 0.7349 0.7349 0.2651
I 0.2651 0.7349 0.7349
I 0.7349 0.2651 0.7349

Summary:
- Formation energy without anion corrections: -304 meV/atom
- Energy: -2.780 eV/atom
- V: 29.3 A^3/atom
- Total moment: 0.0000 μB/atom
- Distance to the lowest polymorph of the same formula: 0.084 eV/atom
- Symmetry: No. 215

***

(12)
A plane-wave DFT calculation with PBE was carried out for crystalline NaCuI at its relaxed geometry.

Lattice parameters (Å, degrees): 4.1151 4.9120 8.8619 84.50 85.60 88.63
Fractional positions:
Na 0.2265 0.7126 0.7051
Na 0.7735 0.2874 0.2949
Cu 0.7744 0.4156 0.9421
Cu 0.2256 0.5844 0.0579
I 0.2863 0.7939 0.3218
I 0.7137 0.2061 0.6782

Summary:
- Formation energy without anion corrections: -329 meV/atom
- Energy: -2.651 eV/atom
- V: 29.6 A^3/atom
- Total moment: 0.0000 μB/atom
- Distance to the lowest polymorph of the same formula: 0.033 eV/atom
- Symmetry: No. 2